[1]
Entry from Alexandria via LeMat-Bulk: crystalline Ti2Nb3Pd2 at its relaxed geometry (PBE).

Lattice parameters (Å, degrees): 4.583 4.583 6.983 89.98 109.17 120.00
Positions (direct):
Pd: 0.853 0.427 0.280
Ti: 0.426 0.713 0.139
Pd: 0.147 0.573 0.720
Nb: 0.279 0.140 0.419
Nb: 0.000 0.000 0.000
Nb: 0.721 0.860 0.581
Ti: 0.574 0.287 0.861

The calculation puts the total DFT energy (no corrections) at -8.204 eV/atom. Its size of the total moment is 0.00 μB/atom. The calculated density comes out at 8.3 g/cm3.

---

[2]
Entry from Alexandria via LeMat-Bulk: crystalline Rh2PbAu at its relaxed geometry (PBE).

Lattice parameters (Å, degrees): 4.636 4.636 4.636 60.00 60.00 60.00
Positions (direct):
Rh: 0.750 0.750 0.750
Rh: 0.000 0.000 0.000
Pb: 0.250 0.250 0.250
Au: 0.500 0.500 0.500

The calculation puts the total DFT energy (no corrections) at -5.180 eV/atom. Its size of the total moment is 0.01 μB/atom. The calculated density comes out at 14.4 g/cm3.

---

[3]
Entry from Alexandria via LeMat-Bulk: crystalline NbSiOs at its relaxed geometry (PBE).

Lattice parameters (Å, degrees): 2.954 2.954 5.511 105.55 105.55 90.00
Positions (direct):
Si: 0.316 0.316 0.631
Os: 0.688 0.688 0.375
Nb: 0.997 0.997 0.993

Its size of the total moment is 0.00 μB/atom. The formation energy without anion corrections is -0.4071 eV/atom. The calculated density comes out at 11.6 g/cm3.

---

[4]
Entry from Alexandria via LeMat-Bulk: crystalline CsRb4U3O12 at its relaxed geometry (PBE).

Lattice parameters (Å, degrees): 7.888 7.888 7.888 109.47 109.47 109.47
Site moments in Bohr magnetons follow the coordinates.
Positions (direct):
O: 0.250 0.750 0.500  0.07
O: 0.294 0.294 0.000  0.02
O: 0.706 0.706 0.000  0.02
Rb: 0.000 0.000 0.500  0.00
O: 0.706 0.000 0.706  0.02
O: 0.500 0.750 0.250  0.07
O: 0.750 0.250 0.500  0.07
Cs: 0.000 0.000 0.000  0.01
Rb: 0.500 0.000 0.000  0.00
Rb: 0.500 0.500 0.500  0.00
O: 0.000 0.294 0.294  0.02
O: 0.500 0.250 0.750  0.07
O: 0.000 0.706 0.706  0.02
U: 0.000 0.500 0.500  0.01
O: 0.750 0.500 0.250  0.07
U: 0.500 0.000 0.500  0.01
O: 0.250 0.500 0.750  0.07
Rb: 0.000 0.500 0.000  0.00
U: 0.500 0.500 0.000  0.01
O: 0.294 0.000 0.294  0.02

Its size of the total moment is 0.03 μB/atom. The formation energy without anion corrections is -2.5499 eV/atom. The calculated density comes out at 6.1 g/cm3.